Entry from Alexandria: an optimized crystal structure of Pm2ScZn12Ni3 (PBE).

Results
The total energy comes out at -0.0949 Ha/atom.

Lattice parameters (Å, degrees): 8.2634 8.2634 8.2634 54.87 54.87 54.87
Last column: nearest neighbours and their distance in Å.
Fractional coordinates of all 18 atoms:
Zn1 0.2323 0.8642 0.2323  2 Ni 2.31
Zn2 0.1626 0.1626 0.5191  1 Ni 2.49, 4 Zn 2.71-2.74
Zn3 0.1626 0.5191 0.1626  1 Ni 2.49, 4 Zn 2.71-2.74
Zn4 0.5191 0.1626 0.1626  1 Ni 2.49, 4 Zn 2.71-2.74
Zn5 0.8374 0.4809 0.8374  1 Ni 2.49, 4 Zn 2.71-2.74
Zn6 0.8642 0.2323 0.2323  2 Ni 2.31
Zn7 0.7677 0.7677 0.1358  2 Ni 2.31
Zn8 0.1358 0.7677 0.7677  2 Ni 2.31
Zn9 0.4809 0.8374 0.8374  1 Ni 2.49, 4 Zn 2.71-2.74
Zn10 0.2323 0.2323 0.8642  2 Ni 2.31
Zn11 0.8374 0.8374 0.4809  1 Ni 2.49, 4 Zn 2.71-2.74
Zn12 0.7677 0.1358 0.7677  2 Ni 2.31
Ni1 0.0000 0.5000 0.0000  6 Zn 2.31-2.49
Ni2 0.0000 0.0000 0.5000  6 Zn 2.31-2.49
Ni3 0.5000 0.0000 0.0000  6 Zn 2.31-2.49
Pm1 0.5928 0.5928 0.5928  6 Zn 2.88-3.07
Pm2 0.4072 0.4072 0.4072  6 Zn 2.88-3.07
Sc1 0.0000 0.0000 0.0000  12 Zn 2.81-3.03

=====

Entry from Alexandria: an optimized crystal structure of Y2CuGe4Pt3 (PBE).

Results
The total energy comes out at -0.2266 Ha/atom.

Lattice parameters (Å, degrees): 4.1690 4.1690 10.6707 90.00 90.00 90.00
Last column: nearest neighbours and their distance in Å.
Fractional coordinates of all 10 atoms:
Ge1 0.0000 0.5000 0.3672  3 Pt 2.45-2.52, 2 Cu 2.52
Ge2 0.5000 0.5000 0.0000  4 Pt 2.55
Ge3 0.0000 0.0000 0.0000  4 Pt 2.55
Ge4 0.5000 0.0000 0.6328  3 Pt 2.45-2.52, 2 Cu 2.52
Y1 0.5000 0.0000 0.2642  8 Ge 3.15-3.51, 6 Pt 3.24-3.27, 2 Cu 3.27
Y2 0.0000 0.5000 0.7358  8 Ge 3.15-3.51, 6 Pt 3.24-3.27, 2 Cu 3.27
Cu1 0.5000 0.5000 0.5000  4 Ge 2.52
Pt1 0.5000 0.0000 0.8627  5 Ge 2.45-2.55
Pt2 0.0000 0.5000 0.1373  5 Ge 2.45-2.55
Pt3 0.0000 0.0000 0.5000  4 Ge 2.52

=====

Entry from Alexandria: an optimized crystal structure of ReTeP2 (PBE).

Results
The uncorrected formation energy comes out at 0.1167 eV/atom. The total energy comes out at -0.2383 Ha/atom.

Lattice parameters (Å, degrees): 3.9272 3.9272 8.1114 106.66 106.66 44.86
Last column: nearest neighbours and their distance in Å.
Fractional coordinates of all 4 atoms:
P1 0.4015 0.4015 0.5981  3 Re 2.41-2.45, 1 Te 2.69
P2 0.0985 0.0985 0.9019  3 Re 2.41-2.45, 1 Te 2.69
Re1 0.7500 0.7500 0.7500  6 P 2.41-2.45
Te1 0.2500 0.2500 0.2500  2 P 2.69, 2 Te 3.00

=====

Entry from Alexandria: an optimized crystal structure of CuTeMo2 (PBE).

Results
The uncorrected formation energy comes out at 0.4928 eV/atom. The total energy comes out at -0.2474 Ha/atom.

Lattice parameters (Å, degrees): 5.2265 5.2265 5.2265 142.52 129.33 64.70
Last column: nearest neighbours and their distance in Å.
Fractional coordinates of all 4 atoms:
Mo1 0.5030 0.5030 0.0000  2 Te 2.75, 2 Cu 2.80, 4 Mo 2.80
Mo2 0.9970 0.9970 0.0000  2 Te 2.75, 2 Cu 2.80, 4 Mo 2.80
Te1 0.7500 0.2500 0.5000  4 Mo 2.75, 4 Cu 2.80
Cu1 0.2500 0.7500 0.5000  8 Mo 2.80-3.12, 4 Te 2.80

=====

Number 4 is which compound?
CuTeMo2